Computed, not measured: a relaxed AlFeMo2 crystal at the PBE level of DFT.

Cell: 4.317 4.317 4.317 Å, 60.00 60.00 60.00°
Each line ends with the local moment (μB).
Fractional positions:
Fe 0.750 0.750 0.750  0.95
Mo 0.000 0.000 0.000  -0.17
Mo 0.250 0.250 0.250  0.25
Al 0.500 0.500 0.500  -0.01

Values from the calculation:
* E: -33.97 eV per cell
* DOS(E_F): 3.310 states/eV per cell
* calculated density: 8.02 g/cm³
* E_form: -0.02 eV/atom